Record 1
The following is a DFT calculation (GGA-PBE) of ErMg2Cd after structural relaxation.

abc: 7.1839 7.1839 7.1839
angles: 90.00 90.00 90.00
With the nearest neighbours (Å) after each atom.
Space group Fm-3m (No. 225)
Unique sites:
Er  0.0000  0.0000  0.0000 x4  8 Mg 3.11
Mg  0.2500  0.2500  0.2500 x8  4 Cd 3.11, 4 Er 3.11
Cd  0.0000  0.0000  0.5000 x4  8 Mg 3.11

Properties
- Total moment: 0.0000 μB/atom
- Energy relative to the lowest polymorph listed for this composition: 79 meV per atom
- E_tot: -2.26 eV per atom
- Energy relative to the elements: -38 kJ/mol of formula units

Record 2
The following is a DFT calculation (GGA-PBE) of Re2IrPbBr after structural relaxation.

abc: 4.5260 4.5260 5.3941
angles: 90.00 90.00 90.00
With the nearest neighbours (Å) after each atom.
Space group P4/mmm (No. 123)
Unique sites:
Re  0.0000  0.5000  0.0000 x2  2 Br 2.26
Ir  0.0000  0.0000  0.5000 x1  4 Pb 3.20, 8 Re 3.52
Pb  0.5000  0.5000  0.5000 x1  2 Br 2.70
Br  0.5000  0.5000  0.0000 x1  4 Re 2.26

Properties
- Total moment: 0.0000 μB/atom
- E_tot: -5.34 eV per atom
- Energy relative to the elements, uncorrected: 12.42 eV per formula unit

Record 3
The following is a DFT calculation (GGA-PBE) of LaTcRh2 after structural relaxation.

abc: 4.2224 4.2224 4.0289
angles: 90.00 90.00 90.00
With the nearest neighbours (Å) after each atom.
Space group P4/mmm (No. 123)
Unique sites:
La  0.0000  0.0000  0.0000 x1  8 Rh 2.92, 4 Tc 2.99
Tc  0.5000  0.5000  0.0000 x1  8 Rh 2.92, 4 La 2.99
Rh  0.0000  0.5000  0.5000 x2  4 La 2.92, 4 Tc 2.92, 4 Rh 2.99

Properties
- Total moment: 0.2434 μB/atom
- Energy relative to the lowest polymorph listed for this composition: 103 meV per atom
- E_tot: -7.45 eV per atom
- Energy relative to the elements: 18 kJ/mol of formula units

Record 4
The following is a DFT calculation (GGA-PBE) of Sr2ZnNi3 after structural relaxation.

abc: 11.6431 6.1519 7.6506
angles: 90.00 109.31 90.00
With the nearest neighbours (Å) after each atom.
Space group C2/c (No. 15)
Unique sites:
Sr  0.1786  0.0044  0.0882 x8  6 Ni 3.07-3.38, 2 Zn 3.30-3.31
Zn  0.0000  0.3008  0.2500 x4  5 Ni 2.36-2.56
Ni  0.0000  0.3151  0.7500 x4  1 Zn 2.36, 4 Ni 2.48-2.51
Ni  0.1030  0.4935  0.5519 x8  3 Ni 2.26-2.51, 1 Zn 2.52

Properties
- Total moment: 0.0000 μB/atom
- E_tot: -3.64 eV per atom
- Energy relative to the elements: 12 kJ/mol of formula units

Record 5
The following is a DFT calculation (GGA-PBE) of SrFeSe2 after structural relaxation.

abc: 7.2421 7.2421 7.0697
angles: 90.00 90.00 90.00
With the nearest neighbours (Å) after each atom.
Space group I-42d (No. 122)
Unique sites:
Sr  0.0000  0.0000  0.0000 x4  8 Se 3.22-3.40, 2 Fe 3.53
Fe  0.0000  0.0000  0.5000 x4  4 Se 2.30
Se  0.1525  0.2500  0.6250 x8  2 Fe 2.30

Properties
- Total moment: 0.1934 μB/atom
- Energy relative to the lowest polymorph listed for this composition: 34 meV per atom
- E_tot: -5.11 eV per atom
- Energy relative to the elements, uncorrected: -3.31 eV per formula unit

Record 6
The following is a DFT calculation (GGA-PBE) of LaBeCo2 after structural relaxation.

abc: 4.1059 4.1059 3.4821
angles: 90.00 90.00 90.00
With the nearest neighbours (Å) after each atom.
Space group P4/mmm (No. 123)
Unique sites:
La  0.0000  0.0000  0.0000 x1  8 Co 2.69, 4 Be 2.90
Be  0.5000  0.5000  0.0000 x1  8 Co 2.69, 4 La 2.90
Co  0.0000  0.5000  0.5000 x2  4 La 2.69, 4 Be 2.69, 4 Co 2.90

Properties
- Total moment: 0.0000 μB/atom
- E_tot: -5.41 eV per atom
- Energy relative to the elements: 118 kJ/mol of formula units